No. 1
This record from Alexandria describes AsHOsPd after structural relaxation. The functional is PBE-GGA.

Cell: 4.501 4.501 4.576 Å, 120.20 120.20 38.80°
Fractional coordinates of all 4 atoms:
As 0.000 0.000 0.000
H 0.566 0.566 0.566
Os 0.207 0.207 0.709
Pd 0.797 0.797 0.298

The value obtained for the magnetization is 0.00 μB/cell.

---

No. 2
This record from Alexandria describes TbOsC after structural relaxation. The functional is PBE-GGA.

Cell: 5.072 6.245 5.521 Å, 90.00 90.00 90.00°
Fractional coordinates of all 12 atoms:
Tb 0.111 0.102 0.250
Tb 0.111 0.398 0.750
Tb 0.889 0.602 0.250
Tb 0.889 0.898 0.750
Os 0.403 0.750 0.000
Os 0.403 0.750 0.500
Os 0.597 0.250 0.000
Os 0.597 0.250 0.500
C 0.377 0.041 0.750
C 0.377 0.459 0.250
C 0.623 0.541 0.750
C 0.623 0.959 0.250

The value obtained for the magnetization is 0.00 μB/cell.

---

No. 3
This record from Alexandria describes CoPbN3 after structural relaxation. The functional is PBE-GGA.

Cell: 3.805 3.805 3.805 Å, 90.00 90.00 90.00°
Fractional coordinates of all 5 atoms:
Co 0.000 0.000 0.000
Pb 0.500 0.500 0.500
N 0.000 0.000 0.500
N 0.000 0.500 0.000
N 0.500 0.000 0.000

For the formation energy without anion corrections, the calculation gives 1.324 eV per atom. The value obtained for the magnetization is 0.00 μB/cell.

---

No. 4
This record from Alexandria describes NaGaAgF6 after structural relaxation. The functional is PBE-GGA.

Cell: 4.981 4.981 10.007 Å, 90.00 90.00 90.00°
Fractional coordinates of all 18 atoms:
Na 0.000 0.000 0.000
Na 0.500 0.500 0.500
Ga 0.000 0.000 0.664
Ga 0.500 0.500 0.164
Ag 0.000 0.000 0.328
Ag 0.500 0.500 0.828
F 0.182 0.182 0.521
F 0.185 0.185 0.809
F 0.227 0.227 0.166
F 0.273 0.727 0.666
F 0.315 0.685 0.309
F 0.318 0.682 0.021
F 0.682 0.318 0.021
F 0.685 0.315 0.309
F 0.727 0.273 0.666
F 0.773 0.773 0.166
F 0.815 0.815 0.809
F 0.818 0.818 0.521

For the formation energy without anion corrections, the calculation gives -2.156 eV per atom. The value obtained for the magnetization is 2.04 μB/cell.

---

No. 5
This record from Alexandria describes TlCdBi2 after structural relaxation. The functional is PBE-GGA.

Cell: 6.969 5.714 12.588 Å, 90.00 90.00 90.00°
Fractional coordinates of all 16 atoms:
Tl 0.245 0.250 0.164
Tl 0.255 0.750 0.664
Tl 0.745 0.250 0.336
Tl 0.755 0.750 0.836
Cd 0.244 0.250 0.415
Cd 0.256 0.750 0.915
Cd 0.744 0.250 0.085
Cd 0.756 0.750 0.585
Bi 0.012 0.750 0.373
Bi 0.022 0.250 0.878
Bi 0.478 0.750 0.378
Bi 0.488 0.250 0.873
Bi 0.512 0.750 0.127
Bi 0.522 0.250 0.622
Bi 0.978 0.750 0.122
Bi 0.988 0.250 0.627

The value obtained for the magnetization is 0.00 μB/cell.

---

No. 6
This record from Alexandria describes Pr4NdSmEr2 after structural relaxation. The functional is PBE-GGA.

Cell: 6.313 3.663 12.026 Å, 90.00 100.16 90.00°
Fractional coordinates of all 8 atoms:
Pr 0.248 0.000 0.247
Pr 0.248 0.500 0.749
Pr 0.752 0.000 0.753
Pr 0.752 0.500 0.251
Nd 0.500 0.500 0.500
Sm 0.500 0.000 0.000
Er 0.000 0.000 0.500
Er 0.000 0.500 0.000

The value obtained for the magnetization is 0.00 μB/cell.

---

Per-record E, eV/cell: -23.87 -98.48 -29.17 -75.66 -43.50 -37.61